Entry 1:
The following is a DFT calculation (PBE-GGA) of a relaxed Na3PdF6 crystal.

The calculation puts the final energy at -4.046 eV per atom. The volume is 513.0 Å³/cell. The crystal system is cubic.

The space group is Fm-3m (No. 225) and the conventional cell measures 8.0052, 8.0052 and 8.0052 Å, with angles of 90.00, 90.00 and 90.00 degrees. The distinct sites, in fractional coordinates, are Na at (0.0000, 0.0000, 0.0000), Na at (0.2500, 0.2500, 0.2500), Pd at (0.0000, 0.0000, 0.5000) and F at (0.0000, 0.0000, 0.2524).

***

Entry 2:
The following is a DFT calculation (PBE-GGA) of a relaxed NaPdF3 crystal.

The calculation puts the final energy at -4.170 eV per atom. The volume is 393.0 Å³/cell. The crystal system is trigonal.

The space group is R3c (No. 161, hexagonal axes) and the conventional cell measures 5.5882, 5.5882 and 14.5330 Å, with angles of 90.00, 90.00 and 120.00 degrees. The distinct sites, in fractional coordinates, are Na at (0.0000, 0.0000, 0.0000), Pd at (0.0000, 0.0000, 0.2078) and F at (0.0518, 0.3461, 0.2852).

***

Entry 3:
The following is a DFT calculation (PBE-GGA) of a relaxed NaPr2ZnF11 crystal.

The calculation puts the final energy at -5.044 eV per atom. The volume is 403.4 Å³/cell. The crystal system is monoclinic.

The space group is C2/m (No. 12) and the conventional cell measures 9.4688, 6.8938 and 7.1531 Å, with angles of 90.00, 120.25 and 90.00 degrees. The distinct sites, in fractional coordinates, are Na at (0.0000, 0.0000, 0.0000), Pr at (0.1301, 0.5000, 0.3006), Zn at (0.0000, 0.0000, 0.5000), F at (0.0000, 0.3058, 0.0000), F at (0.0000, 0.5000, 0.5000), F at (0.1188, 0.1798, 0.4169), F at (0.1655, 0.5000, 0.8022) and F at (0.1757, 0.0000, 0.8118).

***

Entry 4:
The following is a DFT calculation (PBE-GGA) of a relaxed Na2PtF6 crystal.

The calculation puts the final energy at -4.263 eV per atom. The volume is 346.5 Å³/cell. The crystal system is trigonal.

The space group is P321 (No. 150) and the conventional cell measures 9.0643, 9.0643 and 4.8703 Å, with angles of 90.00, 90.00 and 120.00 degrees. The distinct sites, in fractional coordinates, are Na at (0.0000, 0.3009, 0.0000), Na at (0.0000, 0.6347, 0.5000), Pt at (0.0000, 0.0000, 0.5000), Pt at (0.3333, 0.6667, 0.0042), F at (0.0940, 0.8863, 0.2789), F at (0.1301, 0.5444, 0.2343) and F at (0.2199, 0.7578, 0.7748).

***

Entry 5:
The following is a DFT calculation (PBE-GGA) of a relaxed NaPu2F8 crystal.

The calculation puts the final energy at -7.473 eV per atom. The volume is 292.0 Å³/cell. The crystal system is monoclinic.

The space group is C2/m (No. 12) and the conventional cell measures 10.7799, 7.1383 and 4.0175 Å, with angles of 90.00, 109.17 and 90.00 degrees. The distinct sites, in fractional coordinates, are Na at (0.0000, 0.0000, 0.0000), Pu at (0.1794, 0.5000, 0.4166), F at (0.0598, 0.5000, 0.8068), F at (0.1272, 0.1981, 0.4017) and F at (0.2069, 0.0000, 0.9769).

***

Entry 6:
The following is a DFT calculation (PBE-GGA) of a relaxed Na3PuF8 crystal.

The calculation puts the final energy at -5.734 eV per atom. The volume is 289.0 Å³/cell. The crystal system is tetragonal.

The space group is I4/mmm (No. 139) and the conventional cell measures 5.2553, 5.2553 and 10.4630 Å, with angles of 90.00, 90.00 and 90.00 degrees. The distinct sites, in fractional coordinates, are Na at (0.0000, 0.0000, 0.0000), Na at (0.0000, 0.5000, 0.2500), Pu at (0.0000, 0.0000, 0.5000) and F at (0.2383, 0.2383, 0.3802).

***

Entry 7:
The following is a DFT calculation (PBE-GGA) of a relaxed Rb2NaReF6 crystal.

The calculation puts the final energy at -4.975 eV per atom. The volume is 289.9 Å³/cell. The crystal system is monoclinic.

The space group is C2/m (No. 12) and the conventional cell measures 10.0945, 5.9295 and 5.8748 Å, with angles of 90.00, 124.48 and 90.00 degrees. The distinct sites, in fractional coordinates, are Rb at (0.2481, 0.0000, 0.2546), Na at (0.0000, 0.5000, 0.0000), Re at (0.0000, 0.0000, 0.5000), F at (0.0037, 0.2470, 0.7444) and F at (0.2427, 0.0000, 0.7524).

***

Entry 8:
The following is a DFT calculation (PBE-GGA) of a relaxed Rb2NaTcF6 crystal.

The value obtained for the offset from the most stable computed form is 5 meV/atom. The calculation puts the final energy at -4.896 eV per atom. The volume is 284.5 Å³/cell. The crystal system is monoclinic.

The space group is C2/m (No. 12) and the conventional cell measures 10.1156, 5.8602 and 5.8600 Å, with angles of 90.00, 125.01 and 90.00 degrees. The distinct sites, in fractional coordinates, are Rb at (0.2497, 0.0000, 0.2492), Na at (0.0000, 0.0000, 0.5000), Tc at (0.0000, 0.5000, 0.0000), F at (0.9996, 0.2576, 0.2428) and F at (0.2428, 0.5000, 0.2436).

***

Entry 9:
The following is a DFT calculation (PBE-GGA) of a relaxed Rb2NaTcF6 crystal.

The value obtained for the offset from the most stable computed form is 14 meV/atom. The calculation puts the final energy at -4.887 eV per atom. The volume is 282.2 Å³/cell. The crystal system is tetragonal.

The space group is I4/mmm (No. 139) and the conventional cell measures 5.8588, 5.8588 and 8.2214 Å, with angles of 90.00, 90.00 and 90.00 degrees. The distinct sites, in fractional coordinates, are Rb at (0.0000, 0.5000, 0.2500), Na at (0.0000, 0.0000, 0.0000), Tc at (0.0000, 0.0000, 0.5000), F at (0.0000, 0.0000, 0.2581) and F at (0.2438, 0.2438, 0.5000).

***

Entry 10:
The following is a DFT calculation (PBE-GGA) of a relaxed Rb2NaTcF6 crystal.

The value obtained for the offset from the most stable computed form is 0 meV/atom. The calculation puts the final energy at -4.901 eV per atom. The volume is 287.7 Å³/cell. The crystal system is tetragonal.

The space group is I4/m (No. 87) and the conventional cell measures 5.8341, 5.8341 and 8.4531 Å, with angles of 90.00, 90.00 and 90.00 degrees. The distinct sites, in fractional coordinates, are Rb at (0.0000, 0.5000, 0.2500), Na at (0.0000, 0.0000, 0.0000), Tc at (0.0000, 0.0000, 0.5000), F at (0.0000, 0.0000, 0.2577) and F at (0.2261, 0.7413, 0.5000).

***

Entry 11:
The following is a DFT calculation (PBE-GGA) of a relaxed Na3ReF8 crystal.

The calculation puts the final energy at -5.018 eV per atom. The volume is 265.6 Å³/cell. The crystal system is tetragonal.

The space group is I4/mmm (No. 139) and the conventional cell measures 5.1128, 5.1128 and 10.1608 Å, with angles of 90.00, 90.00 and 90.00 degrees. The distinct sites, in fractional coordinates, are Na at (0.0000, 0.0000, 0.0000), Na at (0.0000, 0.5000, 0.2500), Re at (0.0000, 0.0000, 0.5000) and F at (0.2276, 0.2276, 0.3854).

***

Entry 12:
The following is a DFT calculation (PBE-GGA) of a relaxed Na3SmF crystal.

The calculation puts the final energy at -2.637 eV per atom. The volume is 122.1 Å³/cell. The crystal system is cubic.

The space group is Pm-3m (No. 221) and the conventional cell measures 4.9613, 4.9613 and 4.9613 Å, with angles of 90.00, 90.00 and 90.00 degrees. The distinct sites, in fractional coordinates, are Na at (0.0000, 0.0000, 0.5000), Sm at (0.5000, 0.5000, 0.5000) and F at (0.0000, 0.0000, 0.0000).

***

Entry 13:
The following is a DFT calculation (PBE-GGA) of a relaxed Na3TaF8 crystal.

The value obtained for the offset from the most stable computed form is 0 meV/atom. The calculation puts the final energy at -5.604 eV per atom. The volume is 540.8 Å³/cell. The crystal system is monoclinic.

The space group is C2/c (No. 15) and the conventional cell measures 11.1729, 5.1967 and 10.7388 Å, with angles of 90.00, 119.86 and 90.00 degrees. The distinct sites, in fractional coordinates, are Na at (0.1370, 0.2418, 0.0999), Na at (0.2500, 0.2500, 0.5000), Ta at (0.0000, 0.3216, 0.7500), F at (0.0556, 0.4467, 0.4194), F at (0.0636, 0.1294, 0.6333), F at (0.1586, 0.1061, 0.8919) and F at (0.1729, 0.4781, 0.2868).

***

Entry 14:
The following is a DFT calculation (PBE-GGA) of a relaxed Na3TaF8 crystal.

The value obtained for the offset from the most stable computed form is 10 meV/atom. The calculation puts the final energy at -5.593 eV per atom. The volume is 532.8 Å³/cell. The crystal system is monoclinic.

The space group is C2/c (No. 15) and the conventional cell measures 11.1422, 5.1546 and 10.6821 Å, with angles of 90.00, 119.71 and 90.00 degrees. The distinct sites, in fractional coordinates, are Na at (0.1373, 0.2414, 0.0997), Na at (0.2500, 0.2500, 0.5000), Ta at (0.0000, 0.3222, 0.7500), F at (0.0556, 0.4445, 0.4195), F at (0.0637, 0.1293, 0.6330), F at (0.1588, 0.1058, 0.8922) and F at (0.1733, 0.4768, 0.2870).

***

Entry 15:
The following is a DFT calculation (PBE-GGA) of a relaxed Na3TcF6 crystal.

The value obtained for the offset from the most stable computed form is 48 meV/atom. The calculation puts the final energy at -4.839 eV per atom. The volume is 271.2 Å³/cell. The crystal system is monoclinic.

The space group is C2/m (No. 12) and the conventional cell measures 9.9449, 5.7629 and 5.7683 Å, with angles of 90.00, 124.88 and 90.00 degrees. The distinct sites, in fractional coordinates, are Na at (0.0000, 0.0000, 0.0000), Na at (0.2496, 0.0000, 0.7488), Tc at (0.0000, 0.5000, 0.5000), F at (0.0003, 0.2553, 0.2547) and F at (0.2452, 0.5000, 0.7464).

***

Entry 16:
The following is a DFT calculation (PBE-GGA) of a relaxed NaTc3F6 crystal.

The calculation puts the final energy at -5.229 eV per atom. The volume is 548.6 Å³/cell. The crystal system is cubic.

The space group is Fm-3m (No. 225) and the conventional cell measures 8.1864, 8.1864 and 8.1864 Å, with angles of 90.00, 90.00 and 90.00 degrees. The distinct sites, in fractional coordinates, are Na at (0.0000, 0.0000, 0.0000), Tc at (0.0000, 0.0000, 0.5000), Tc at (0.2500, 0.2500, 0.2500) and F at (0.0000, 0.0000, 0.2541).

***

Entry 17:
The following is a DFT calculation (PBE-GGA) of a relaxed Na2TcF6 crystal.

The value obtained for the offset from the most stable computed form is 103 meV/atom. The calculation puts the final energy at -5.063 eV per atom. The volume is 104.1 Å³/cell. The crystal system is trigonal.

The space group is P-3m1 (No. 164) and the conventional cell measures 5.4248, 5.4248 and 4.0842 Å, with angles of 90.00, 90.00 and 120.00 degrees. The distinct sites, in fractional coordinates, are Na at (0.3333, 0.6667, 0.2902), Tc at (0.0000, 0.0000, 0.0000) and F at (0.1767, 0.3533, 0.7522).

***

Entry 18:
The following is a DFT calculation (PBE-GGA) of a relaxed NaTcF5 crystal.

The calculation puts the final energy at -5.274 eV per atom. The volume is 360.3 Å³/cell. The crystal system is monoclinic.

The space group is C2/c (No. 15) and the conventional cell measures 8.4395, 6.1824 and 7.5366 Å, with angles of 90.00, 113.60 and 90.00 degrees. The distinct sites, in fractional coordinates, are Na at (0.0000, 0.0236, 0.2500), Tc at (0.0000, 0.5000, 0.0000), F at (0.0000, 0.3962, 0.2500), F at (0.0808, 0.2115, 0.9835) and F at (0.2287, 0.3884, 0.6389).

***

Entry 19:
The following is a DFT calculation (PBE-GGA) of a relaxed Na3TcF6 crystal.

The value obtained for the offset from the most stable computed form is 0 meV/atom. The calculation puts the final energy at -4.887 eV per atom. The volume is 252.1 Å³/cell. The crystal system is tetragonal.

The space group is I4/m (No. 87) and the conventional cell measures 5.5454, 5.5454 and 8.1968 Å, with angles of 90.00, 90.00 and 90.00 degrees. The distinct sites, in fractional coordinates, are Na at (0.0000, 0.0000, 0.0000), Na at (0.0000, 0.5000, 0.2500), Tc at (0.0000, 0.0000, 0.5000), F at (0.0000, 0.0000, 0.2529) and F at (0.1528, 0.6727, 0.5000).